The following is a DFT calculation (PBE) of a geometry-optimized La4BeCl5 structure.

Calculated values
**Energy relative to the elements, uncorrected**: -15.3 eV per formula unit
**Spin magnetization**: 0.00 Bohr magnetons per cell

a = 18.683 Å, b = 4.117 Å, c = 7.596 Å
α = 90.00°, β = 103.25°, γ = 90.00°
Space group C2/m (No. 12)
Unique sites:
La1 0.065 0.000 0.318 [4 per cell]
La2 0.132 0.500 0.791 [4 per cell]
Be1 0.000 0.500 0.500 [2 per cell]
Cl1 0.000 0.500 0.000 [2 per cell]
Cl2 0.176 0.000 0.076 [4 per cell]
Cl3 0.193 0.000 0.605 [4 per cell]